First-principles (GGA-PBE) data for a geometry-optimized Tb8Pr6Th structure, as listed in the Alexandria database.

a = 8.7935 Å, b = 8.7935 Å, c = 8.7935 Å
α = 63.03°, β = 63.03°, γ = 63.03°
Fractional positions:
Tb1 0.0770 0.0770 0.0770
Tb2 0.2138 0.2569 0.6137
Tb3 0.2569 0.6137 0.2138
Tb4 0.3863 0.7862 0.7431
Tb5 0.6137 0.2138 0.2569
Tb6 0.7431 0.3863 0.7862
Tb7 0.7862 0.7431 0.3863
Tb8 0.9230 0.9230 0.9230
Pr1 0.0378 0.7309 0.5994
Pr2 0.2691 0.4006 0.9622
Pr3 0.4006 0.9622 0.2691
Pr4 0.5994 0.0378 0.7309
Pr5 0.7309 0.5994 0.0378
Pr6 0.9622 0.2691 0.4006
Th1 0.5000 0.5000 0.5000

## Properties
- DFT total energy (eV per atom) = -4.757
- SG = R-3

=====

First-principles (GGA-PBE) data for a geometry-optimized Sr2HWI structure, as listed in the Alexandria database.

a = 6.2001 Å, b = 6.2001 Å, c = 3.6591 Å
α = 90.00°, β = 90.00°, γ = 90.00°
Fractional positions:
Sr1 0.0000 0.5000 0.0000
Sr2 0.5000 0.0000 0.0000
H1 0.0000 0.0000 0.5000
W1 0.0000 0.0000 0.0000
I1 0.5000 0.5000 0.5000

## Properties
- DFT total energy (eV per atom) = -3.836
- SG = P4/mmm

=====

First-principles (GGA-PBE) data for a geometry-optimized NaZn4Au8 structure, as listed in the Alexandria database.

a = 7.0618 Å, b = 7.0618 Å, c = 7.0618 Å
α = 98.80°, β = 98.80°, γ = 133.94°
Fractional positions:
Na1 0.0000 0.0000 0.0000
Zn1 0.0000 0.0000 0.5000
Zn2 0.0000 0.5000 0.0000
Zn3 0.5000 0.0000 0.0000
Zn4 0.5000 0.5000 0.5000
Au1 0.0000 0.3339 0.3339
Au2 0.0000 0.6661 0.6661
Au3 0.2790 0.5000 0.7790
Au4 0.3339 0.0000 0.3339
Au5 0.5000 0.2790 0.7790
Au6 0.5000 0.7210 0.2210
Au7 0.6661 0.0000 0.6661
Au8 0.7210 0.5000 0.2210

## Properties
- SG = I4/mmm
- distance to the lowest polymorph of the same formula (meV per atom) = 0